Entry 1:
Mg2SiAu2 after structural relaxation, computed with PBE.

The structure belongs to space group P4/mbm (No. 127); the cell edges are 6.7987, 6.7987 and 4.0627 Å and the angles 90.00°, 90.00° and 90.00°. The asymmetric unit holds Mg at (0.1603, 0.3397, 0.0000), Si at (0.0000, 0.0000, 0.5000) and Au at (0.1496, 0.6496, 0.5000).

As for the excess energy over the best structure of this formula in the dataset: 0 meV per atom.

=====

Entry 2:
Sm2MgSi3Au4 after structural relaxation, computed with PBE.

The structure belongs to space group P-4m2 (No. 115); the cell edges are 4.2856, 4.2856 and 10.7738 Å and the angles 90.00°, 90.00° and 90.00°. The asymmetric unit holds Sm at (0.0000, 0.5000, 0.2331), Mg at (0.0000, 0.0000, 0.5000), Si at (0.0000, 0.5000, 0.8646), Si at (0.5000, 0.5000, 0.5000), Au at (0.0000, 0.0000, 0.0000), Au at (0.0000, 0.5000, 0.6400) and Au at (0.5000, 0.5000, 0.0000).

=====

Entry 3:
SmMgSi2Au5 after structural relaxation, computed with PBE.

The structure belongs to space group P4/mmm (No. 123); the cell edges are 4.5349, 4.5349 and 9.6252 Å and the angles 90.00°, 90.00° and 90.00°. The asymmetric unit holds Sm at (0.0000, 0.0000, 0.0000), Mg at (0.0000, 0.0000, 0.5000), Si at (0.5000, 0.5000, 0.2439), Au at (0.0000, 0.5000, 0.3317) and Au at (0.5000, 0.5000, 0.0000).

=====

no.,formation energy without anion corrections (eV per atom)
1,-0.30
2,-0.63
3,-0.29